AcMoSeO2, optimized geometry, DFT PBE with a Hubbard U; magnetic moment = 3.00 Bohr magnetons per cell; DOS at the Fermi energy = 0.1 states/eV per cell; DFT total energy = -6.949 eV per atom
1.0
4.281 0.000 0.000
0.000 4.281 0.000
0.000 0.000 5.662
Ac Mo Se O
1 1 1 2
direct
0.000 0.000 0.000 Ac
0.500 0.500 0.310 Mo
0.500 0.500 0.775 Se
0.000 0.500 0.241 O
0.500 0.000 0.241 O